1.
This record from the Alexandria database describes an optimized crystal structure of Mg4Ga5Hg. The functional is PBE-GGA.

Values from the calculation:
energy relative to the elements	-0.968	eV per formula unit

```
data_Mg4Ga5Hg
_cell_length_a 14.790
_cell_length_b 4.731
_cell_length_c 6.032
_cell_angle_alpha 90.00
_cell_angle_beta 109.59
_cell_angle_gamma 90.00
_space_group_name_H-M_alt 'C 1 2/m 1'
_space_group_IT_number 12
_space_group_name_Hall '-C 2y'
loop_
_atom_site_label
_atom_site_fract_x
_atom_site_fract_y
_atom_site_fract_z
_atom_site_occupancy
Mg1 0.103 0.000 0.408 1
Mg2 0.203 0.500 0.793 1
Ga1 0.000 0.500 0.000 1
Ga2 0.099 0.000 0.912 1
Ga3 0.195 0.500 0.284 1
Hg1 0.000 0.500 0.500 1
```


2.
This record from the Alexandria database describes an optimized crystal structure of FeRe2Au2. The functional is PBE-GGA.

Values from the calculation:
energy above the lowest structure with this stoichiometry	0	meV/atom
energy relative to the elements	3.719	eV per formula unit

```
data_FeRe2Au2
_cell_length_a 3.540
_cell_length_b 3.540
_cell_length_c 14.165
_cell_angle_alpha 90.00
_cell_angle_beta 90.00
_cell_angle_gamma 90.00
_space_group_name_H-M_alt 'I 4/m m m'
_space_group_IT_number 139
_space_group_name_Hall '-I 4 2'
loop_
_atom_site_label
_atom_site_fract_x
_atom_site_fract_y
_atom_site_fract_z
_atom_site_occupancy
Fe1 0.000 0.000 0.000 1
Re1 0.000 0.500 0.250 1
Au1 0.000 0.000 0.406 1
```


3.
This record from the Alexandria database describes an optimized crystal structure of HfAs3Cl. The functional is PBE-GGA.

Values from the calculation:
energy above the lowest structure with this stoichiometry	621	meV/atom

```
data_HfAs3Cl
_cell_length_a 4.751
_cell_length_b 4.751
_cell_length_c 4.751
_cell_angle_alpha 90.00
_cell_angle_beta 90.00
_cell_angle_gamma 90.00
_space_group_name_H-M_alt 'P m -3 m'
_space_group_IT_number 221
_space_group_name_Hall '-P 4 2 3'
loop_
_atom_site_label
_atom_site_fract_x
_atom_site_fract_y
_atom_site_fract_z
_atom_site_occupancy
Hf1 0.000 0.000 0.000 1
As1 0.000 0.500 0.500 1
Cl1 0.500 0.500 0.500 1
```